VASP calculation (GGA-PBEsol) on an optimized crystal structure of FeMoPt.

Symmetry = F-43m, No. 216
E above lowest polymorph = 485 meV/atom

a = 4.0234 Å, b = 4.0234 Å, c = 4.0234 Å
α = 60.00°, β = 60.00°, γ = 60.00°
Closest atoms and distances in Å follow each position.
Sites, in units of the cell vectors:
Fe  0.2500  0.2500  0.2500  4 Mo 2.46, 4 Pt 2.46
Pt  0.5000  0.5000  0.5000  4 Fe 2.46
Mo  0.0000  0.0000  0.0000  4 Fe 2.46